Material: SrSiAg2
Method: DFT, meta-GGA SCAN
State: PBEsol geometry

Output
- raw formation energy (eV/f.u.) = 0.97
- total magnetic moment (μB/f.u.) = 0.00
- V (Å³/f.u.) = 84

Cell lengths 5.914, 5.914, 3.152 Å; angles 104.44, 104.44, 118.65 degrees
Atoms (fractional coordinates):
Sr 0.000 0.000 0.000
Si 0.500 0.500 0.000
Ag 0.000 0.500 0.500
Ag 0.500 0.000 0.500